[1]
Pm6In5Au | GGA-PBE | relaxed

abc: 5.374 7.769 8.523
angles: 90.00 71.61 90.00
Atoms (fractional coordinates):
In: 0.669 0.500 0.662
In: 0.331 0.500 0.338
In: 0.331 0.000 0.338
In: 0.000 0.500 0.000
In: 0.669 0.000 0.662
Pm: 0.162 0.754 0.676
Pm: 0.838 0.246 0.324
Pm: 0.162 0.246 0.676
Pm: 0.838 0.754 0.324
Pm: 0.500 0.759 0.000
Pm: 0.500 0.241 0.000
Au: 0.000 0.000 0.000

E_form, eV/atom: -0.516

[2]
TbPr3Tl | GGA-PBE | relaxed

abc: 4.937 4.945 13.322
angles: 90.00 79.32 90.00
Atoms (fractional coordinates):
Pr: 0.573 0.250 0.501
Pr: 0.268 0.750 0.112
Pr: 0.877 0.750 0.894
Pr: 0.380 0.250 0.888
Pr: 0.771 0.250 0.106
Pr: 0.075 0.750 0.499
Tb: 0.172 0.250 0.303
Tb: 0.476 0.750 0.697
Tl: 0.671 0.750 0.307
Tl: 0.978 0.250 0.693

E_form, eV/atom: -0.131
Energy above the most stable polymorph in this dataset, meV/atom: 0.0

Number 1: V 338 Å³/cell, total DFT energy (no corrections) -51.664 eV for the cell shown. Number 2: V 320 Å³/cell, total DFT energy (no corrections) -43.984 eV for the cell shown.